First-principles (PBE) data for crystalline ZrZnHg2 at its relaxed geometry, as listed in Alexandria.

Lattice parameters (Å, degrees): 5.9720 5.9720 5.9720 149.92 127.01 62.14
Positions (direct):
Zr1 0.0000 0.0000 0.0000
Zn1 0.7595 0.2595 0.5000
Hg1 0.2566 0.7566 0.5000
Hg2 0.5211 0.5211 0.0000

Computed properties:
Size of the total moment: 0.000 μB per formula unit

***

First-principles (PBE) data for crystalline Zr2ZnHg at its relaxed geometry, as listed in Alexandria.

Lattice parameters (Å, degrees): 4.9290 4.9290 4.9290 60.00 60.00 60.00
Positions (direct):
Zr1 0.0000 0.0000 0.0000
Zr2 0.2500 0.2500 0.2500
Zn1 0.7500 0.7500 0.7500
Hg1 0.5000 0.5000 0.5000

Computed properties:
Size of the total moment: 3.250 μB per formula unit

***

First-principles (PBE) data for crystalline Zr6ZnHg5 at its relaxed geometry, as listed in Alexandria.

Lattice parameters (Å, degrees): 4.9505 6.9908 7.8216 90.00 108.43 90.00
Positions (direct):
Zr1 0.0000 0.2435 0.0000
Zr2 0.0000 0.7565 0.0000
Zr3 0.3352 0.2461 0.6743
Zr4 0.3352 0.7539 0.6743
Zr5 0.6648 0.2461 0.3257
Zr6 0.6648 0.7539 0.3257
Zn1 0.5000 0.0000 0.0000
Hg1 0.1708 0.0000 0.3368
Hg2 0.1708 0.5000 0.3376
Hg3 0.5000 0.5000 0.0000
Hg4 0.8292 0.0000 0.6632
Hg5 0.8292 0.5000 0.6624

Computed properties:
Size of the total moment: 0.000 μB per formula unit

***

Formation enthalpy at 0 K list, top to bottom, in meV/atom: 39, 227, -151